# 1
Computed, not measured: a relaxed structure of Mg2PtW at the PBE-GGA level of DFT.

abc: 6.455 6.455 6.455
angles: 90.00 90.00 90.00
Sites, in units of the cell vectors:
Mg 0.000 0.000 0.000
Mg 0.000 0.500 0.500
Mg 0.250 0.250 0.250
Mg 0.250 0.750 0.750
Mg 0.500 0.000 0.500
Mg 0.500 0.500 0.000
Mg 0.750 0.250 0.750
Mg 0.750 0.750 0.250
Pt 0.000 0.000 0.500
Pt 0.000 0.500 0.000
Pt 0.500 0.000 0.000
Pt 0.500 0.500 0.500
W 0.250 0.250 0.750
W 0.250 0.750 0.250
W 0.750 0.250 0.250
W 0.750 0.750 0.750

Summary:
N(E_F) ... 4.627 states/eV/f.u.
Calculated volume ... 16.81 Å³/atom
Offset from the most stable computed form ... 291 meV/atom
Formation energy ... 14.2 kJ per mole of atoms

---

# 2
Computed, not measured: a relaxed structure of Mg2Pt2W at the PBE-GGA level of DFT.

abc: 6.652 6.652 4.060
angles: 90.00 90.00 90.00
Sites, in units of the cell vectors:
Mg 0.168 0.332 0.000
Mg 0.332 0.832 0.000
Mg 0.668 0.168 0.000
Mg 0.832 0.668 0.000
Pt 0.140 0.640 0.500
Pt 0.360 0.140 0.500
Pt 0.640 0.860 0.500
Pt 0.860 0.360 0.500
W 0.000 0.000 0.500
W 0.500 0.500 0.500

Summary:
N(E_F) ... 1.158 states/eV/f.u.
Calculated volume ... 17.96 Å³/atom
Formation energy ... -23.2 kJ per mole of atoms

---

# 3
Computed, not measured: a relaxed structure of MgPtW at the PBE-GGA level of DFT.

abc: 2.789 5.099 7.007
angles: 91.41 98.38 93.04
Sites, in units of the cell vectors:
Mg 0.000 0.000 0.000
Mg 0.104 0.315 0.339
Pt 0.370 0.104 0.674
Pt 0.529 0.511 0.031
W 0.618 0.803 0.374
W 0.914 0.580 0.684

Summary:
N(E_F) ... 1.462 states/eV/f.u.
Calculated volume ... 16.40 Å³/atom
Offset from the most stable computed form ... 142 meV/atom
Formation energy ... -13.2 kJ per mole of atoms

---

# 4
Computed, not measured: a relaxed structure of MgPtW at the PBE-GGA level of DFT.

abc: 2.816 5.085 7.450
angles: 75.58 80.25 74.24
Sites, in units of the cell vectors:
Mg 0.000 0.000 0.000
Mg 0.332 0.002 0.355
Pt 0.665 0.001 0.677
Pt 0.667 0.500 0.177
W 0.041 0.482 0.520
W 0.291 0.521 0.833

Summary:
N(E_F) ... 1.699 states/eV/f.u.
Calculated volume ... 16.47 Å³/atom
Offset from the most stable computed form ... 178 meV/atom
Formation energy ... -9.8 kJ per mole of atoms

---

What did the fourth record say?
Computed, not measured: a relaxed structure of MgPtW at the PBE-GGA level of DFT.

abc: 2.816 5.085 7.450
angles: 75.58 80.25 74.24
Sites, in units of the cell vectors:
Mg 0.000 0.000 0.000
Mg 0.332 0.002 0.355
Pt 0.665 0.001 0.677
Pt 0.667 0.500 0.177
W 0.041 0.482 0.520
W 0.291 0.521 0.833

Summary:
N(E_F) ... 1.699 states/eV/f.u.
Calculated volume ... 16.47 Å³/atom
Offset from the most stable computed form ... 178 meV/atom
Formation energy ... -9.8 kJ per mole of atoms